## VP2W (PBE-GGA)

Data for a relaxed structure of VP2W.

Calculated values
Energy above the most stable polymorph in this dataset (meV/atom): 867.2
M_tot (Bohr magnetons per cell): 10.89
Total DFT energy (no corrections) (eV per atom): -7.98

Cell lengths 5.4842, 5.4842, 10.6347 Å; angles 90.00, 90.00, 90.00 degrees
Atoms (fractional coordinates):
1 V 0.0000 0.0000 0.0000
2 V 0.0000 0.5000 0.2500
3 V 0.5000 0.0000 0.7500
4 V 0.5000 0.5000 0.5000
5 P 0.2488 0.2500 0.6250
6 P 0.2500 0.7488 0.8750
7 P 0.2500 0.7512 0.3750
8 P 0.2512 0.2500 0.1250
9 P 0.7488 0.7500 0.1250
10 P 0.7500 0.2488 0.3750
11 P 0.7500 0.2512 0.8750
12 P 0.7512 0.7500 0.6250
13 W 0.0000 0.0000 0.5000
14 W 0.0000 0.5000 0.7500
15 W 0.5000 0.0000 0.2500
16 W 0.5000 0.5000 0.0000